{"formula": "Pm2W3O12", "functional": "PBE with a Hubbard U", "state": "relaxed", "cell": [[7.057, 0.003, 0.019], [-2.626, 6.550, 0.019], [2.235, 3.306, 10.990]], "species": ["Pm", "Pm", "Pm", "Pm", "W", "W", "W", "W", "W", "W", "O", "O", "O", "O", "O", "O", "O", "O", "O", "O", "O", "O", "O", "O", "O", "O", "O", "O", "O", "O", "O", "O", "O", "O"], "frac_coords": [[0.194, 0.447, 0.594], [0.806, 0.553, 0.406], [0.553, 0.806, 0.906], [0.447, 0.194, 0.094], [0.009, 0.299, 0.952], [0.991, 0.701, 0.048], [0.701, 0.991, 0.548], [0.299, 0.009, 0.452], [0.616, 0.384, 0.750], [0.384, 0.616, 0.250], [0.552, 0.472, 0.608], [0.448, 0.528, 0.392], [0.528, 0.448, 0.892], [0.472, 0.552, 0.108], [0.512, 0.099, 0.782], [0.488, 0.901, 0.218], [0.901, 0.488, 0.718], [0.099, 0.512, 0.282], [0.727, 0.125, 0.960], [0.273, 0.875, 0.040], [0.875, 0.273, 0.540], [0.125, 0.727, 0.460], [0.399, 0.824, 0.573], [0.601, 0.176, 0.427], [0.176, 0.601, 0.927], [0.824, 0.399, 0.073], [0.156, 0.305, 0.803], [0.844, 0.695, 0.197], [0.695, 0.844, 0.697], [0.305, 0.156, 0.303], [0.897, 0.830, 0.940], [0.103, 0.170, 0.060], [0.170, 0.103, 0.560], [0.830, 0.897, 0.440]], "dft_energy_ev_per_atom": -7.802, "magmom_total_mub_per_fu": 0.00, "dos_ef_per_ev_atom": 0.0000, "space_group": "C2/c, No. 15", "vol_a3_per_atom": 14.9}